(1)
PBE NbMo2H, relaxed; energy above the lowest structure with this stoichiometry = 0 meV per atom; density = 8.19 g/cm³
1.0
-2.7279 2.7279 3.8931
2.7279 -2.7279 3.8931
2.7279 2.7279 -3.8931
Nb Mo H
2 4 2
direct
0.3750 0.6250 0.7500
0.6250 0.3750 0.2500
0.0000 0.0000 0.0000
0.0000 0.0000 0.5000
0.0000 0.5000 0.0000
0.5000 0.0000 0.5000
0.1250 0.8750 0.2500
0.8750 0.1250 0.7500

---

(2)
PBE NbMo2H, relaxed; energy above the lowest structure with this stoichiometry = 543 meV per atom; density = 8.08 g/cm³
1.0
0.0000 3.0846 3.0846
3.0846 0.0000 3.0846
3.0846 3.0846 0.0000
Nb Mo H
1 2 1
direct
0.0000 0.0000 0.0000
0.2500 0.2500 0.2500
0.7500 0.7500 0.7500
0.5000 0.5000 0.5000

---

(3)
PBE Nb3Mo2H4, relaxed; total energy = -7.187 eV per atom; density = 8.11 g/cm³
1.0
4.8047 -1.4068 0.0000
4.8047 1.4068 0.0000
-2.3445 0.0000 7.1857
Nb Mo H
3 2 4
direct
0.0000 0.0000 0.0000
0.3946 0.3946 0.6125
0.6054 0.6054 0.3875
0.3110 0.3110 0.1964
0.6890 0.6890 0.8036
0.1793 0.1793 0.6098
0.3346 0.3346 0.9379
0.6654 0.6654 0.0621
0.8207 0.8207 0.3902

---

(4)
PBE Nb2MoH2, relaxed; energy above the lowest structure with this stoichiometry = 0 meV per atom; density = 8.13 g/cm³
1.0
-1.6461 1.6461 5.3450
1.6461 -1.6461 5.3450
1.6461 1.6461 -5.3450
Nb Mo H
2 1 2
direct
0.1475 0.1475 0.0000
0.8525 0.8525 0.0000
0.5000 0.5000 0.0000
0.2500 0.7500 0.5000
0.7500 0.2500 0.5000

---

(5)
PBE NbMo2H, relaxed; energy above the lowest structure with this stoichiometry = 37 meV per atom; density = 8.71 g/cm³
1.0
1.4461 0.8349 7.5206
-1.4461 0.8349 7.5206
0.0000 -1.6698 7.5206
Nb Mo H
1 2 1
direct
0.0000 0.0000 0.0000
0.1147 0.1147 0.1147
0.8853 0.8853 0.8853
0.5000 0.5000 0.5000

---

(6)
PBE Nb2MoH, relaxed; energy above the lowest structure with this stoichiometry = 544 meV per atom; density = 7.72 g/cm³
1.0
0.0000 3.1218 3.1218
3.1218 0.0000 3.1218
3.1218 3.1218 0.0000
Nb Mo H
2 1 1
direct
0.2500 0.2500 0.2500
0.7500 0.7500 0.7500
0.0000 0.0000 0.0000
0.5000 0.5000 0.5000

---

(7)
PBE Nb2MoH2, relaxed; energy above the lowest structure with this stoichiometry = 420 meV per atom; density = 8.02 g/cm³
1.0
6.0933 0.0000 0.0000
0.0000 6.0933 0.0000
0.0000 0.0000 3.1652
Nb Mo H
4 2 4
direct
0.1688 0.3312 0.0000
0.3312 0.8312 0.0000
0.6688 0.1688 0.0000
0.8312 0.6688 0.0000
0.0000 0.0000 0.5000
0.5000 0.5000 0.5000
0.1675 0.6675 0.5000
0.3325 0.1675 0.5000
0.6675 0.8325 0.5000
0.8325 0.3325 0.5000

---

(8)
PBE NbNiMo2H, relaxed; total energy = -8.151 eV per atom; density = 9.13 g/cm³
1.0
4.0955 0.0000 0.0000
0.0000 4.0955 0.0000
0.0000 0.0000 3.7366
Nb Ni Mo H
1 1 2 1
direct
0.0000 0.0000 0.0000
0.5000 0.5000 0.0000
0.0000 0.5000 0.5000
0.5000 0.0000 0.5000
0.5000 0.5000 0.5000

---

(9)
PBE NbNi2MoH, relaxed; energy above the lowest structure with this stoichiometry = 25 meV per atom; density = 8.87 g/cm³
1.0
3.7449 0.0000 0.0000
0.0000 3.7449 0.0000
0.0000 0.0000 4.1021
Nb Ni Mo H
1 2 1 1
direct
0.0000 0.0000 0.0000
0.0000 0.5000 0.5000
0.5000 0.0000 0.5000
0.5000 0.5000 0.0000
0.0000 0.0000 0.5000

---

(10)
PBE NbNi2MoH, relaxed; energy above the lowest structure with this stoichiometry = 0 meV per atom; density = 8.88 g/cm³
1.0
3.7704 0.0000 0.0000
0.0000 3.7704 0.0000
0.0000 0.0000 4.0403
Nb Ni Mo H
1 2 1 1
direct
0.0000 0.0000 0.0000
0.0000 0.5000 0.5000
0.5000 0.0000 0.5000
0.5000 0.5000 0.0000
0.5000 0.5000 0.5000

---

(11)
PBE NbMo2HOs, relaxed; energy above the lowest structure with this stoichiometry = 27 meV per atom; density = 11.90 g/cm³
1.0
4.0878 0.0000 0.0000
0.0000 4.0878 0.0000
0.0000 0.0000 3.9745
Nb Mo H Os
1 2 1 1
direct
0.0000 0.0000 0.0000
0.0000 0.5000 0.5000
0.5000 0.0000 0.5000
0.5000 0.5000 0.5000
0.5000 0.5000 0.0000

---

(12)
PBE Nb2MoHOs, relaxed; energy above the lowest structure with this stoichiometry = 22 meV per atom; density = 11.36 g/cm³
1.0
4.4738 0.0000 0.0000
0.0000 4.4738 0.0000
0.0000 0.0000 3.4547
Nb Mo H Os
2 1 1 1
direct
0.0000 0.5000 0.0000
0.5000 0.0000 0.0000
0.0000 0.0000 0.5000
0.0000 0.0000 0.0000
0.5000 0.5000 0.5000

---

(13)
PBE NbMo2HOs, relaxed; energy above the lowest structure with this stoichiometry = 0 meV per atom; density = 11.91 g/cm³
1.0
4.0029 0.0000 0.0000
0.0000 4.0029 0.0000
0.0000 0.0000 4.1437
Nb Mo H Os
1 2 1 1
direct
0.0000 0.0000 0.0000
0.0000 0.5000 0.5000
0.5000 0.0000 0.5000
0.0000 0.0000 0.5000
0.5000 0.5000 0.0000

---

(14)
PBE Nb2MoHOs, relaxed; energy above the lowest structure with this stoichiometry = 0 meV per atom; density = 11.31 g/cm³
1.0
4.4593 0.0000 0.0000
0.0000 4.4593 0.0000
0.0000 0.0000 3.4937
Nb Mo H Os
2 1 1 1
direct
0.0000 0.5000 0.0000
0.5000 0.0000 0.0000
0.0000 0.0000 0.5000
0.5000 0.5000 0.0000
0.5000 0.5000 0.5000

---

(15)
PBE Nb2MoHPd, relaxed; total energy = -7.988 eV per atom; density = 9.28 g/cm³
1.0
4.2628 0.0000 0.0000
0.0000 4.2628 0.0000
0.0000 0.0000 3.8326
Nb Mo H Pd
2 1 1 1
direct
0.0000 0.5000 0.0000
0.5000 0.0000 0.0000
0.0000 0.0000 0.5000
0.0000 0.0000 0.0000
0.5000 0.5000 0.5000

---

(16)
PBE Nb2MoHPd, relaxed; total energy = -7.989 eV per atom; density = 9.26 g/cm³
1.0
4.3798 0.0000 0.0000
0.0000 4.3798 0.0000
0.0000 0.0000 3.6379
Nb Mo H Pd
2 1 1 1
direct
0.0000 0.5000 0.0000
0.5000 0.0000 0.0000
0.0000 0.0000 0.5000
0.5000 0.5000 0.0000
0.5000 0.5000 0.5000

---

(17)
PBE NbTeMoHPd, relaxed; energy above the lowest structure with this stoichiometry = 77 meV per atom; density = 9.40 g/cm³
1.0
4.7867 0.0000 0.0000
0.0000 3.3205 0.0000
-0.9067 0.0000 4.7098
Nb Te Mo H Pd
1 1 1 1 1
direct
0.0000 0.0000 0.0000
0.4788 0.5000 0.0584
0.4142 0.0000 0.5986
0.0224 0.0000 0.5878
0.8935 0.5000 0.4958

---

(18)
PBE NbTeMoHPd, relaxed; energy above the lowest structure with this stoichiometry = 131 meV per atom; density = 9.09 g/cm³
1.0
4.6444 0.0000 0.0000
0.0000 3.2865 0.0000
-0.4068 0.0000 5.0719
Nb Te Mo H Pd
1 1 1 1 1
direct
0.0000 0.0000 0.0000
0.3190 0.0000 0.4791
0.8352 0.5000 0.3974
0.8753 0.5000 0.7746
0.5028 0.5000 0.9064

---

(19)
PBE NbTeMoHPd, relaxed; energy above the lowest structure with this stoichiometry = 82 meV per atom; density = 9.03 g/cm³
1.0
3.2472 0.0000 0.0000
1.5369 4.7132 0.0000
0.9421 0.6324 5.0941
Nb Te Mo H Pd
1 1 1 1 1
direct
0.0000 0.0000 0.0000
0.9644 0.4305 0.3290
0.6101 0.9782 0.4911
0.1250 0.8324 0.6575
0.3279 0.4549 0.8140

---

(20)
PBE NbTeMoHPd, relaxed; energy above the lowest structure with this stoichiometry = 129 meV per atom; density = 8.77 g/cm³
1.0
4.5520 -1.7735 0.0000
4.5520 1.7735 0.0000
-3.7214 0.0000 4.9692
Nb Te Mo H Pd
1 1 1 1 1
direct
0.0000 0.0000 0.0000
0.1339 0.1339 0.6410
0.3814 0.3814 0.1926
0.8164 0.8164 0.0703
0.7627 0.7627 0.4341

---

(21)
PBE NbTeMoHPd, relaxed; energy above the lowest structure with this stoichiometry = 94 meV per atom; density = 8.77 g/cm³
1.0
3.3392 0.0000 0.0000
1.6417 4.4477 0.0000
0.0007 0.0631 5.4058
Nb Te Mo H Pd
1 1 1 1 1
direct
0.0000 0.0000 0.0000
0.7059 0.5843 0.7061
0.6967 0.5976 0.1992
0.1191 0.7540 0.2941
0.4181 0.1535 0.4604

---

(22)
PBE NbTeMoHPd, relaxed; energy above the lowest structure with this stoichiometry = 69 meV per atom; density = 9.21 g/cm³
1.0
5.0127 -1.6832 0.0000
5.0127 1.6832 0.0000
-2.0978 0.0000 4.5269
Nb Te Mo H Pd
1 1 1 1 1
direct
0.0000 0.0000 0.0000
0.8057 0.8057 0.3807
0.5463 0.5463 0.4659
0.5452 0.5452 0.8398
0.2635 0.2635 0.9201

---

(23)
PBE NbTeMoHPd, relaxed; energy above the lowest structure with this stoichiometry = 102 meV per atom; density = 8.98 g/cm³
1.0
3.4053 0.0000 0.0000
0.2499 4.8258 0.0000
0.7495 1.0941 4.7688
Nb Te Mo H Pd
1 1 1 1 1
direct
0.0000 0.0000 0.0000
0.8166 0.3546 0.4971
0.4127 0.9019 0.4260
0.1502 0.7102 0.7887
0.4145 0.4783 0.0429

---

(24)
PBE NbTeMoHPd, relaxed; energy above the lowest structure with this stoichiometry = 121 meV per atom; density = 8.97 g/cm³
1.0
4.9110 -1.6399 0.0000
4.9110 1.6399 0.0000
-0.1053 0.0000 4.8699
Nb Te Mo H Pd
1 1 1 1 1
direct
0.0000 0.0000 0.0000
0.2968 0.2968 0.6107
0.5722 0.5722 0.5399
0.0070 0.0070 0.4002
0.7269 0.7269 0.0499

---

(25)
PBE NbTeMoHPd, relaxed; energy above the lowest structure with this stoichiometry = 0 meV per atom; density = 9.19 g/cm³
1.0
4.6991 0.0000 0.0000
0.0000 3.3482 0.0000
-1.1742 0.0000 4.8682
Nb Te Mo H Pd
1 1 1 1 1
direct
0.0000 0.0000 0.0000
0.6238 0.0000 0.4873
0.5457 0.5000 0.0618
0.1576 0.5000 0.8498
0.1377 0.5000 0.4748

---

(26)
PBE NbTeMoHPd, relaxed; energy above the lowest structure with this stoichiometry = 133 meV per atom; density = 9.19 g/cm³
1.0
3.2861 0.0000 0.0000
-0.1240 4.8570 0.0000
-1.6267 -0.5429 4.7995
Nb Te Mo H Pd
1 1 1 1 1
direct
0.0000 0.0000 0.0000
0.7644 0.3655 0.5817
0.5112 0.5476 0.0490
0.0563 0.3976 0.1510
0.2549 0.8384 0.5254

---

(27)
PBE NbTeMoHPd, relaxed; energy above the lowest structure with this stoichiometry = 43 meV per atom; density = 9.08 g/cm³
1.0
3.4287 0.0000 0.0000
1.4661 4.6877 0.0000
0.8528 0.7715 4.8230
Nb Te Mo H Pd
1 1 1 1 1
direct
0.0000 0.0000 0.0000
0.9902 0.5962 0.6336
0.3491 0.0482 0.4640
0.4082 0.1922 0.0784
0.6610 0.5377 0.1806

---

(28)
PBE NbTeMoHPd, relaxed; energy above the lowest structure with this stoichiometry = 77 meV per atom; density = 9.22 g/cm³
1.0
3.1484 0.0000 0.0000
-1.5706 4.6001 0.0000
-0.0016 -0.0136 5.2695
Nb Te Mo H Pd
1 1 1 1 1
direct
0.0000 0.0000 0.0000
0.2695 0.5356 0.6997
0.5487 0.0930 0.5051
0.9628 0.9212 0.3748
0.2696 0.5375 0.1962